(1)
# CuPSe3 | OQMD | GGA-PBE | optimized geometry
data_CuPSe3
_symmetry_space_group_name_H-M 'P 1'
_symmetry_Int_Tables_number 1
_cell_length_a 6.212
_cell_length_b 6.212
_cell_length_c 7.006
_cell_angle_alpha 98.49
_cell_angle_beta 98.49
_cell_angle_gamma 120.03
loop_
_symmetry_equiv_pos_as_xyz
'x,y,z'
loop_
_atom_site_label
_atom_site_type_symbol
_atom_site_fract_x
_atom_site_fract_y
_atom_site_fract_z
Cu1 Cu 0.167 0.833 0.000
Cu2 Cu 0.833 0.167 0.000
P1 P 0.444 0.444 0.834
P2 P 0.556 0.556 0.166
Se1 Se 0.072 0.418 0.754
Se2 Se 0.235 0.235 0.245
Se3 Se 0.418 0.072 0.754
Se4 Se 0.582 0.928 0.246
Se5 Se 0.765 0.765 0.755
Se6 Se 0.928 0.582 0.246
# energy above the most stable polymorph in this dataset = 0.0018 eV/atom



(2)
# CuPSe3 | OQMD | GGA-PBE | optimized geometry
data_CuPSe3
_symmetry_space_group_name_H-M 'P 1'
_symmetry_Int_Tables_number 1
_cell_length_a 6.668
_cell_length_b 6.668
_cell_length_c 7.416
_cell_angle_alpha 121.86
_cell_angle_beta 121.86
_cell_angle_gamma 61.69
loop_
_symmetry_equiv_pos_as_xyz
'x,y,z'
loop_
_atom_site_label
_atom_site_type_symbol
_atom_site_fract_x
_atom_site_fract_y
_atom_site_fract_z
Cu1 Cu 0.238 0.762 0.000
Cu2 Cu 0.762 0.238 0.000
P1 P 0.158 0.158 0.730
P2 P 0.842 0.842 0.270
Se1 Se 0.187 0.187 0.062
Se2 Se 0.249 0.751 0.500
Se3 Se 0.345 0.345 0.714
Se4 Se 0.655 0.655 0.286
Se5 Se 0.751 0.249 0.500
Se6 Se 0.813 0.813 0.938
# energy above the most stable polymorph in this dataset = 0.0527 eV/atom



(3)
# CuSiP2 | OQMD | GGA-PBE | optimized geometry
data_CuSiP2
_symmetry_space_group_name_H-M 'P 1'
_symmetry_Int_Tables_number 1
_cell_length_a 6.346
_cell_length_b 6.346
_cell_length_c 6.346
_cell_angle_alpha 130.69
_cell_angle_beta 130.69
_cell_angle_gamma 72.31
loop_
_symmetry_equiv_pos_as_xyz
'x,y,z'
loop_
_atom_site_label
_atom_site_type_symbol
_atom_site_fract_x
_atom_site_fract_y
_atom_site_fract_z
Cu1 Cu 0.000 0.000 0.000
Cu2 Cu 0.750 0.250 0.500
Si1 Si 0.250 0.750 0.500
Si2 Si 0.500 0.500 0.000
P1 P 0.125 0.625 0.000
P2 P 0.375 0.375 0.500
P3 P 0.625 0.125 0.000
P4 P 0.875 0.875 0.500
# total energy = -0.1877 hartree per atom



(4)
# CuSi2P3 | OQMD | GGA-PBE | optimized geometry
data_CuSi2P3
_symmetry_space_group_name_H-M 'P 1'
_symmetry_Int_Tables_number 1
_cell_length_a 6.415
_cell_length_b 6.415
_cell_length_c 5.293
_cell_angle_alpha 114.34
_cell_angle_beta 114.34
_cell_angle_gamma 33.57
loop_
_symmetry_equiv_pos_as_xyz
'x,y,z'
loop_
_atom_site_label
_atom_site_type_symbol
_atom_site_fract_x
_atom_site_fract_y
_atom_site_fract_z
Cu1 Cu 0.000 0.000 0.000
Si1 Si 0.337 0.337 0.349
Si2 Si 0.664 0.664 0.676
P1 P 0.167 0.167 0.419
P2 P 0.501 0.501 0.755
P3 P 0.834 0.834 0.087
# total energy = -0.1962 hartree per atom



no.,density (g cm⁻³)
1,4.9
2,4.8
3,3.6
4,3.2